Crystalline BeVNi2O at its relaxed geometry. Source: Alexandria via LeMat-Bulk, functional PBE+U.

```
BeVNi2O
1.0
-1.089 -0.208 3.554
2.314 -3.097 0.528
2.793 2.255 0.988
Be Ni O V
1 2 1 1
direct
0.500 0.500 0.500
0.000 0.000 0.500
0.500 0.000 0.000
0.000 0.000 0.000
0.000 0.500 0.000
```

Values from the calculation:
- VASP energy: -19.1 eV/cell
- D(E_F): 0.30 states/eV per atom
- Mass density: 5.9 g/cm3